(1)
Compound: Bi2PbS4
Source: the Alexandria database
Functional: meta-GGA SCAN
Structure: single point on PBEsol structure

abc: 4.048 11.611 14.451
angles: 90.00 90.00 90.00
Atoms (fractional coordinates):
S 0.250 0.736 0.300
S 0.750 0.017 0.285
S 0.250 0.164 0.487
S 0.250 0.944 0.092
S 0.750 0.336 0.987
S 0.250 0.483 0.785
S 0.250 0.664 0.013
S 0.750 0.517 0.215
S 0.250 0.236 0.200
S 0.750 0.556 0.592
S 0.250 0.444 0.408
S 0.750 0.836 0.513
S 0.750 0.764 0.800
S 0.750 0.056 0.908
S 0.250 0.983 0.715
S 0.750 0.264 0.700
Bi 0.250 0.434 0.108
Bi 0.750 0.566 0.892
Bi 0.750 0.066 0.608
Bi 0.750 0.604 0.402
Bi 0.250 0.896 0.902
Bi 0.250 0.934 0.392
Bi 0.250 0.396 0.598
Bi 0.750 0.104 0.098
Pb 0.750 0.750 0.153
Pb 0.250 0.250 0.847
Pb 0.250 0.750 0.653
Pb 0.750 0.250 0.347

Results
VASP energy (eV for the cell shown): -1096.2
Total magnetization (μB per formula unit): 0.00

(2)
Compound: BaMg2Cl
Source: the Alexandria database
Functional: meta-GGA SCAN
Structure: single point on PBEsol structure

abc: 3.834 5.998 6.547
angles: 117.26 90.00 90.00
Atoms (fractional coordinates):
Mg 0.000 0.000 0.500
Mg 0.000 0.500 0.500
Cl 0.500 0.500 0.000
Ba 0.500 0.000 0.000

Results
VASP energy (eV for the cell shown): -59.5
Total magnetization (μB per formula unit): 0.00

(3)
Compound: Cd2GaBi
Source: the Alexandria database
Functional: meta-GGA SCAN
Structure: single point on PBEsol structure

abc: 5.132 5.132 5.132
angles: 60.00 60.00 60.00
Atoms (fractional coordinates):
Bi 0.500 0.500 0.500
Cd 0.750 0.750 0.750
Cd 0.250 0.250 0.250
Ga 0.000 0.000 0.000

Results
Energy of formation (eV per atom): 0.174
VASP energy (eV for the cell shown): -155.1
Total magnetization (μB per formula unit): 0.00